# GGA-PBE Sr2TlI, relaxed
# Offset from the most stable computed form = 0.240 eV/atom
data_Sr2TlI
_space_group_name_H-M_alt 'F m -3 m'
_space_group_IT_number 225
_space_group_name_Hall '-F 4 2 3'
_cell_length_a 8.419
_cell_length_b 8.419
_cell_length_c 8.419
_cell_angle_alpha 90.00
_cell_angle_beta 90.00
_cell_angle_gamma 90.00
loop_
_atom_site_label
_atom_site_type_symbol
_atom_site_fract_x
_atom_site_fract_y
_atom_site_fract_z
Sr1 Sr 0.250 0.250 0.250
Tl1 Tl 0.000 0.000 0.000
I1 I 0.000 0.000 0.500

=====

# GGA-PBE SrTl2I2, relaxed
# Offset from the most stable computed form = 0.098 eV/atom
data_SrTl2I2
_space_group_name_H-M_alt 'P 4/m b m'
_space_group_IT_number 127
_space_group_name_Hall '-P 4 2ab'
_cell_length_a 8.624
_cell_length_b 8.624
_cell_length_c 5.654
_cell_angle_alpha 90.00
_cell_angle_beta 90.00
_cell_angle_gamma 90.00
loop_
_atom_site_label
_atom_site_type_symbol
_atom_site_fract_x
_atom_site_fract_y
_atom_site_fract_z
Sr1 Sr 0.000 0.000 0.000
Tl1 Tl 0.177 0.323 0.500
I1 I 0.160 0.660 0.000

=====

# GGA-PBE SrTlI3, relaxed
# Offset from the most stable computed form = 0.130 eV/atom
data_SrTlI3
_space_group_name_H-M_alt 'P m -3 m'
_space_group_IT_number 221
_space_group_name_Hall '-P 4 2 3'
_cell_length_a 6.404
_cell_length_b 6.404
_cell_length_c 6.404
_cell_angle_alpha 90.00
_cell_angle_beta 90.00
_cell_angle_gamma 90.00
loop_
_atom_site_label
_atom_site_type_symbol
_atom_site_fract_x
_atom_site_fract_y
_atom_site_fract_z
Sr1 Sr 0.000 0.000 0.000
Tl1 Tl 0.500 0.500 0.500
I1 I 0.000 0.000 0.500

=====

# GGA-PBE SrTl2I, relaxed
# Offset from the most stable computed form = 0.000 eV/atom
data_SrTl2I
_space_group_name_H-M_alt 'I -4 2 d'
_space_group_IT_number 122
_space_group_name_Hall 'I -4 2bw'
_cell_length_a 9.718
_cell_length_b 9.718
_cell_length_c 6.647
_cell_angle_alpha 90.00
_cell_angle_beta 90.00
_cell_angle_gamma 90.00
loop_
_atom_site_label
_atom_site_type_symbol
_atom_site_fract_x
_atom_site_fract_y
_atom_site_fract_z
Sr1 Sr 0.000 0.000 0.000
Tl1 Tl 0.241 0.250 0.625
I1 I 0.000 0.000 0.500

=====

# GGA-PBE Sr2TlI, relaxed
# Offset from the most stable computed form = 0.036 eV/atom
data_Sr2TlI
_space_group_name_H-M_alt 'P 4/m m m'
_space_group_IT_number 123
_space_group_name_Hall '-P 4 2'
_cell_length_a 4.037
_cell_length_b 4.037
_cell_length_c 9.087
_cell_angle_alpha 90.00
_cell_angle_beta 90.00
_cell_angle_gamma 90.00
loop_
_atom_site_label
_atom_site_type_symbol
_atom_site_fract_x
_atom_site_fract_y
_atom_site_fract_z
Sr1 Sr 0.000 0.000 0.226
Tl1 Tl 0.500 0.500 0.000
I1 I 0.500 0.500 0.500

=====

# GGA-PBE Sr3Tl5I12, relaxed
# Offset from the most stable computed form = 0.099 eV/atom
data_Sr3Tl5I12
_space_group_name_H-M_alt 'I a -3 d'
_space_group_IT_number 230
_space_group_name_Hall '-I 4bd 2c 3'
_cell_length_a 19.882
_cell_length_b 19.882
_cell_length_c 19.882
_cell_angle_alpha 90.00
_cell_angle_beta 90.00
_cell_angle_gamma 90.00
loop_
_atom_site_label
_atom_site_type_symbol
_atom_site_fract_x
_atom_site_fract_y
_atom_site_fract_z
Sr1 Sr 0.000 0.250 0.125
Tl1 Tl 0.000 0.000 0.000
Tl2 Tl 0.000 0.250 0.375
I1 I 0.019 0.079 0.651

=====

VASP calculation (GGA-PBE) on a geometry-optimized Sr4TlI5 structure.

```
data_Sr4TlI5
_space_group_name_H-M_alt 'C 1 2/m 1'
_space_group_IT_number 12
_cell_length_a 21.107
_cell_length_b 4.626
_cell_length_c 9.979
_cell_angle_alpha 90.00
_cell_angle_beta 105.67
_cell_angle_gamma 90.00
loop_
_space_group_symop_operation_xyz
'x,y,z'
'-x,-y,-z'
'-x,y,-z'
'x,-y,z'
'x+1/2,y+1/2,z'
'-x+1/2,-y+1/2,-z'
'-x+1/2,y+1/2,-z'
'x+1/2,-y+1/2,z'
loop_
_atom_site_label
_atom_site_type_symbol
_atom_site_fract_x
_atom_site_fract_y
_atom_site_fract_z
Sr1 Sr 0.002 0.000 0.247
Sr2 Sr 0.164 0.500 0.096
Tl1 Tl 0.000 0.500 0.000
I1 I 0.000 0.500 0.500
I2 I 0.167 0.000 0.332
I3 I 0.171 0.000 0.853
```

=====

# GGA-PBE SrTl2I, relaxed
# Offset from the most stable computed form = 0.128 eV/atom
data_SrTl2I
_space_group_name_H-M_alt 'F m -3 m'
_space_group_IT_number 225
_space_group_name_Hall '-F 4 2 3'
_cell_length_a 8.386
_cell_length_b 8.386
_cell_length_c 8.386
_cell_angle_alpha 90.00
_cell_angle_beta 90.00
_cell_angle_gamma 90.00
loop_
_atom_site_label
_atom_site_type_symbol
_atom_site_fract_x
_atom_site_fract_y
_atom_site_fract_z
Sr1 Sr 0.000 0.000 0.000
Tl1 Tl 0.250 0.250 0.250
I1 I 0.000 0.000 0.500

=====

# GGA-PBE Sr2TlI, relaxed
# Offset from the most stable computed form = 0.023 eV/atom
data_Sr2TlI
_space_group_name_H-M_alt 'R 3 m'
_space_group_IT_number 160
_space_group_name_Hall 'R 3 -2"'
_cell_length_a 4.4453
_cell_length_b 4.4453
_cell_length_c 28.1051
_cell_angle_alpha 90.00
_cell_angle_beta 90.00
_cell_angle_gamma 120.00
loop_
_atom_site_label
_atom_site_type_symbol
_atom_site_fract_x
_atom_site_fract_y
_atom_site_fract_z
Sr1 Sr 0.0000 0.0000 0.0000
Sr2 Sr 0.0000 0.0000 0.1783
Tl1 Tl 0.0000 0.0000 0.5891
I1 I 0.0000 0.0000 0.4207

=====

VASP calculation (GGA-PBE) on a geometry-optimized SrUTl2I8 structure.

```
data_SrUTl2I8
_space_group_name_H-M_alt 'P 1 2/m 1'
_space_group_IT_number 10
_cell_length_a 7.678
_cell_length_b 9.629
_cell_length_c 8.154
_cell_angle_alpha 90.00
_cell_angle_beta 91.94
_cell_angle_gamma 90.00
loop_
_space_group_symop_operation_xyz
'x,y,z'
'-x,-y,-z'
'-x,y,-z'
'x,-y,z'
loop_
_atom_site_label
_atom_site_type_symbol
_atom_site_fract_x
_atom_site_fract_y
_atom_site_fract_z
Sr1 Sr 0.000 0.000 0.000
U1 U 0.000 0.500 0.000
Tl1 Tl 0.500 0.246 0.500
I1 I 0.205 0.500 0.316
I2 I 0.234 0.272 0.867
I3 I 0.245 0.000 0.332
```

=====

VASP calculation (GGA-PBE) on a geometry-optimized Sr2TmI structure.

```
data_Sr2TmI
_space_group_name_H-M_alt 'R -3 m'
_space_group_IT_number 166
_space_group_name_Hall '-R 3 2"'
_cell_length_a 3.9580
_cell_length_b 3.9580
_cell_length_c 37.0084
_cell_angle_alpha 90.00
_cell_angle_beta 90.00
_cell_angle_gamma 120.00
loop_
_atom_site_label
_atom_site_type_symbol
_atom_site_fract_x
_atom_site_fract_y
_atom_site_fract_z
Sr1 Sr 0.0000 0.0000 0.0971
Tm1 Tm 0.0000 0.0000 0.0000
I1 I 0.0000 0.0000 0.5000
```

=====

VASP calculation (GGA-PBE) on a geometry-optimized SrUI2 structure.

```
data_SrUI2
_space_group_name_H-M_alt 'R -3 m'
_space_group_IT_number 166
_space_group_name_Hall '-R 3 2"'
_cell_length_a 3.9811
_cell_length_b 3.9811
_cell_length_c 33.2329
_cell_angle_alpha 90.00
_cell_angle_beta 90.00
_cell_angle_gamma 120.00
loop_
_atom_site_label
_atom_site_type_symbol
_atom_site_fract_x
_atom_site_fract_y
_atom_site_fract_z
Sr1 Sr 0.0000 0.0000 0.0000
U1 U 0.0000 0.0000 0.5000
I1 I 0.0000 0.0000 0.4041
```

=====

# GGA-PBE SrUI6, relaxed
# Offset from the most stable computed form = 0.030 eV/atom
data_SrUI6
_space_group_name_H-M_alt 'C 1 2/m 1'
_space_group_IT_number 12
_cell_length_a 7.864
_cell_length_b 14.153
_cell_length_c 7.813
_cell_angle_alpha 90.00
_cell_angle_beta 107.50
_cell_angle_gamma 90.00
loop_
_space_group_symop_operation_xyz
'x,y,z'
'-x,-y,-z'
'-x,y,-z'
'x,-y,z'
'x+1/2,y+1/2,z'
'-x+1/2,-y+1/2,-z'
'-x+1/2,y+1/2,-z'
'x+1/2,-y+1/2,z'
loop_
_atom_site_label
_atom_site_type_symbol
_atom_site_fract_x
_atom_site_fract_y
_atom_site_fract_z
Sr1 Sr 0.000 0.000 0.000
U1 U 0.000 0.500 0.500
I1 I 0.225 0.348 0.736
I2 I 0.244 0.500 0.270

=====

# GGA-PBE SrUI6, relaxed
# Offset from the most stable computed form = 0.000 eV/atom
data_SrUI6
_space_group_name_H-M_alt 'C 1 2/c 1'
_space_group_IT_number 15
_cell_length_a 8.107
_cell_length_b 13.974
_cell_length_c 15.575
_cell_angle_alpha 90.00
_cell_angle_beta 101.59
_cell_angle_gamma 90.00
loop_
_space_group_symop_operation_xyz
'x,y,z'
'-x,-y,-z'
'-x,y,-z+1/2'
'x,-y,z+1/2'
'x+1/2,y+1/2,z'
'-x+1/2,-y+1/2,-z'
'-x+1/2,y+1/2,-z+1/2'
'x+1/2,-y+1/2,z+1/2'
loop_
_atom_site_label
_atom_site_type_symbol
_atom_site_fract_x
_atom_site_fract_y
_atom_site_fract_z
Sr1 Sr 0.000 0.085 0.250
U1 U 0.000 0.419 0.250
I1 I 0.100 0.266 0.133
I2 I 0.113 0.432 0.634
I3 I 0.153 0.077 0.633

=====

# GGA-PBE SrUI6, relaxed
# Offset from the most stable computed form = 0.042 eV/atom
data_SrUI6
_space_group_name_H-M_alt 'P -1'
_space_group_IT_number 2
_cell_length_a 7.856
_cell_length_b 7.864
_cell_length_c 8.499
_cell_angle_alpha 62.50
_cell_angle_beta 62.51
_cell_angle_gamma 60.03
loop_
_space_group_symop_operation_xyz
'x,y,z'
'-x,-y,-z'
loop_
_atom_site_label
_atom_site_type_symbol
_atom_site_fract_x
_atom_site_fract_y
_atom_site_fract_z
Sr1 Sr 0.000 0.000 0.000
U1 U 0.500 0.500 0.500
I1 I 0.100 0.429 0.741
I2 I 0.270 0.900 0.260
I3 I 0.430 0.729 0.741

=====

# GGA-PBE SrV2I, relaxed
# Offset from the most stable computed form = 0.000 eV/atom
data_SrV2I
_space_group_name_H-M_alt 'I -4 2 d'
_space_group_IT_number 122
_space_group_name_Hall 'I -4 2bw'
_cell_length_a 4.622
_cell_length_b 4.622
_cell_length_c 19.755
_cell_angle_alpha 90.00
_cell_angle_beta 90.00
_cell_angle_gamma 90.00
loop_
_atom_site_label
_atom_site_type_symbol
_atom_site_fract_x
_atom_site_fract_y
_atom_site_fract_z
Sr1 Sr 0.000 0.000 0.000
V1 V 0.058 0.250 0.625
I1 I 0.000 0.000 0.500

=====

VASP calculation (GGA-PBE) on a geometry-optimized SrVI4 structure.

```
data_SrVI4
_space_group_name_H-M_alt 'C 1 2/m 1'
_space_group_IT_number 12
_cell_length_a 16.441
_cell_length_b 4.389
_cell_length_c 7.822
_cell_angle_alpha 90.00
_cell_angle_beta 110.44
_cell_angle_gamma 90.00
loop_
_space_group_symop_operation_xyz
'x,y,z'
'-x,-y,-z'
'-x,y,-z'
'x,-y,z'
'x+1/2,y+1/2,z'
'-x+1/2,-y+1/2,-z'
'-x+1/2,y+1/2,-z'
'x+1/2,-y+1/2,z'
loop_
_atom_site_label
_atom_site_type_symbol
_atom_site_fract_x
_atom_site_fract_y
_atom_site_fract_z
Sr1 Sr 0.000 0.000 0.000
V1 V 0.000 0.500 0.500
I1 I 0.104 0.000 0.442
I2 I 0.115 0.500 0.876
```

=====

# GGA-PBE SrV2I, relaxed
# Offset from the most stable computed form = 0.303 eV/atom
data_SrV2I
_space_group_name_H-M_alt 'F m -3 m'
_space_group_IT_number 225
_space_group_name_Hall '-F 4 2 3'
_cell_length_a 7.259
_cell_length_b 7.259
_cell_length_c 7.259
_cell_angle_alpha 90.00
_cell_angle_beta 90.00
_cell_angle_gamma 90.00
loop_
_atom_site_label
_atom_site_type_symbol
_atom_site_fract_x
_atom_site_fract_y
_atom_site_fract_z
Sr1 Sr 0.000 0.000 0.000
V1 V 0.250 0.250 0.250
I1 I 0.000 0.000 0.500

=====

# GGA-PBE Sr3WI, relaxed
# Offset from the most stable computed form = 0.394 eV/atom
data_Sr3WI
_space_group_name_H-M_alt 'P m -3 m'
_space_group_IT_number 221
_space_group_name_Hall '-P 4 2 3'
_cell_length_a 6.138
_cell_length_b 6.138
_cell_length_c 6.138
_cell_angle_alpha 90.00
_cell_angle_beta 90.00
_cell_angle_gamma 90.00
loop_
_atom_site_label
_atom_site_type_symbol
_atom_site_fract_x
_atom_site_fract_y
_atom_site_fract_z
Sr1 Sr 0.000 0.000 0.500
W1 W 0.500 0.500 0.500
I1 I 0.000 0.000 0.000

=====

# GGA-PBE SrW3I, relaxed
# Offset from the most stable computed form = 0.000 eV/atom
data_SrW3I
_space_group_name_H-M_alt 'P m -3 m'
_space_group_IT_number 221
_space_group_name_Hall '-P 4 2 3'
_cell_length_a 4.995
_cell_length_b 4.995
_cell_length_c 4.995
_cell_angle_alpha 90.00
_cell_angle_beta 90.00
_cell_angle_gamma 90.00
loop_
_atom_site_label
_atom_site_type_symbol
_atom_site_fract_x
_atom_site_fract_y
_atom_site_fract_z
Sr1 Sr 0.000 0.000 0.000
W1 W 0.000 0.500 0.500
I1 I 0.500 0.500 0.500

=====

# GGA-PBE SrW2I, relaxed
# Offset from the most stable computed form = 0.000 eV/atom
data_SrW2I
_space_group_name_H-M_alt 'I -4 2 d'
_space_group_IT_number 122
_space_group_name_Hall 'I -4 2bw'
_cell_length_a 4.173
_cell_length_b 4.173
_cell_length_c 23.301
_cell_angle_alpha 90.00
_cell_angle_beta 90.00
_cell_angle_gamma 90.00
loop_
_atom_site_label
_atom_site_type_symbol
_atom_site_fract_x
_atom_site_fract_y
_atom_site_fract_z
Sr1 Sr 0.000 0.000 0.000
W1 W 0.183 0.250 0.625
I1 I 0.000 0.000 0.500

=====

# GGA-PBE SrW2I, relaxed
# Offset from the most stable computed form = 0.732 eV/atom
data_SrW2I
_space_group_name_H-M_alt 'F m -3 m'
_space_group_IT_number 225
_space_group_name_Hall '-F 4 2 3'
_cell_length_a 6.950
_cell_length_b 6.950
_cell_length_c 6.950
_cell_angle_alpha 90.00
_cell_angle_beta 90.00
_cell_angle_gamma 90.00
loop_
_atom_site_label
_atom_site_type_symbol
_atom_site_fract_x
_atom_site_fract_y
_atom_site_fract_z
Sr1 Sr 0.000 0.000 0.000
W1 W 0.250 0.250 0.250
I1 I 0.000 0.000 0.500

=====

no.,formation energy without anion corrections (eV/atom)
1,-0.5721
2,-0.6452
3,-1.1444
4,-0.3299
5,-0.7766
6,-0.9598
7,-1.2972
8,-0.2021
9,-0.7893
10,-0.9590
11,-0.1636
12,-0.2311
13,-1.1231
14,-1.1527
15,-1.1111
16,0.7642
17,-1.0304
18,1.0669
19,0.9960
20,2.3339
21,1.2662
22,1.9984